The following is a DFT calculation (PBE) of a geometry-optimized Ce4InPd2 structure.

POSCAR file:
```
Ce4InPd2
1.0
5.054 0.000 0.000
2.527 4.377 0.000
2.527 1.459 8.219
Ce In Pd
4 1 2
Cartesian
5.054 2.918 1.427
7.581 4.377 5.586
5.054 2.918 6.792
2.527 1.459 2.633
0.000 0.000 0.000
7.581 4.377 2.785
2.527 1.459 5.434
```

Results
**Theoretical density**: 8.1 g/cm³
**Size of the total moment**: 3.4 μB/f.u.
**Formation energy from the elements**: -0.28 eV per atom